Record 1
Entry from OQMD via LeMat-Bulk: an optimized crystal structure of NaPrHgSe3 (PBE-GGA).

The value obtained for the total magnetic moment is 0.00 μB/f.u. The excess energy over the best structure of this formula in the dataset is 0.01 eV per formula unit. As for the space group: Cmcm (63). The mass density is 5.91 Mg/m³.

a b c (Å): 7.2560 7.2560 11.4014
angles (deg): 90.00 90.00 34.24
Element x y z (fractional)
Se (0.3561, 0.3561, 0.0609)
Se (0.9092, 0.9092, 0.7500)
Se (0.6439, 0.6439, 0.5609)
Hg (0.4655, 0.4655, 0.2500)
Pr (0.0000, 0.0000, 0.5000)
Na (0.7578, 0.7578, 0.2500)
Se (0.0908, 0.0908, 0.2500)
Na (0.2422, 0.2422, 0.7500)
Se (0.6439, 0.6439, 0.9391)
Pr (0.0000, 0.0000, 0.0000)
Se (0.3561, 0.3561, 0.4391)
Hg (0.5345, 0.5345, 0.7500)



Record 2
Entry from OQMD via LeMat-Bulk: an optimized crystal structure of InAgSO (PBE-GGA).

The excess energy over the best structure of this formula in the dataset is 0.63 eV per formula unit. As for the space group: P4/nmm (129). The mass density is 6.73 Mg/m³.

a b c (Å): 3.9122 3.9122 8.7304
angles (deg): 90.00 90.00 90.00
Element x y z (fractional)
S (0.2500, 0.2500, 0.7074)
S (0.7500, 0.7500, 0.2926)
O (0.2500, 0.7500, 0.0000)
Ag (0.7500, 0.2500, 0.5000)
Ag (0.2500, 0.7500, 0.5000)
In (0.2500, 0.2500, 0.1157)
In (0.7500, 0.7500, 0.8843)
O (0.7500, 0.2500, 0.0000)



Record 3
Entry from OQMD via LeMat-Bulk: an optimized crystal structure of LaTbAs (PBE-GGA).

The value obtained for the total magnetic moment is 0.01 μB/f.u. As for the space group: F-43m (216). As for the uncorrected energy: -16.648 eV/cell. The mass density is 7.12 Mg/m³.

a b c (Å): 4.9720 4.9720 4.9720
angles (deg): 60.00 60.00 60.00
Element x y z (fractional)
As (0.0000, 0.0000, 0.0000)
Tb (0.7500, 0.7500, 0.7500)
La (0.2500, 0.2500, 0.2500)



Record 4
Entry from OQMD via LeMat-Bulk: an optimized crystal structure of YErIr2 (PBE-GGA).

The value obtained for the total magnetic moment is 0.00 μB/f.u. The excess energy over the best structure of this formula in the dataset is 0.34 eV per formula unit. As for the space group: Pmc2_1 (26). The mass density is 12.40 Mg/m³. Its energy of formation is -3.0 eV per formula unit.

a b c (Å): 4.2402 5.5775 7.2571
angles (deg): 90.00 90.00 90.00
Element x y z (fractional)
Er (0.0000, 0.8694, 0.8232)
Ir (0.0000, 0.6207, 0.4628)
Er (0.0000, 0.1306, 0.3232)
Ir (0.0000, 0.3793, 0.9628)
Y (0.5000, 0.6294, 0.1758)
Ir (0.5000, 0.1129, 0.0382)
Ir (0.5000, 0.8871, 0.5382)
Y (0.5000, 0.3706, 0.6758)



Record 5
Entry from OQMD via LeMat-Bulk: an optimized crystal structure of DyHoSi2Os (PBE-GGA).

The value obtained for the total magnetic moment is 0.10 μB/f.u. The excess energy over the best structure of this formula in the dataset is 0.02 eV per formula unit. As for the space group: C2/m (12). The mass density is 9.70 Mg/m³.

a b c (Å): 5.7339 5.7339 9.9904
angles (deg): 116.79 116.79 43.17
Element x y z (fractional)
Ho (0.8146, 0.8146, 0.8890)
Si (0.5026, 0.5026, 0.8753)
Si (0.4974, 0.4974, 0.1247)
Si (0.6444, 0.6444, 0.5605)
Os (0.7298, 0.7298, 0.3730)
Dy (0.9917, 0.9917, 0.3212)
Ho (0.1854, 0.1854, 0.1110)
Os (0.2702, 0.2702, 0.6270)
Si (0.3556, 0.3556, 0.4395)
Dy (0.0083, 0.0083, 0.6788)



Record 6
Entry from OQMD via LeMat-Bulk: an optimized crystal structure of NbTeS (PBE-GGA).

The value obtained for the total magnetic moment is 0.00 μB/f.u. As for the space group: Amm2 (38). As for the uncorrected energy: -39.062 eV/cell. The mass density is 3.35 Mg/m³.

a b c (Å): 3.3598 12.4910 12.4910
angles (deg): 151.46 90.00 90.00
Element x y z (fractional)
S (0.5000, 0.6738, 0.8050)
Nb (0.0000, 0.5981, 0.5981)
Te (0.0000, 0.3285, 0.1695)
S (0.5000, 0.8050, 0.6738)
Te (0.0000, 0.1695, 0.3285)
Nb (0.5000, 0.0431, 0.0431)



Please write out number 1 again, unchanged.
Entry from OQMD via LeMat-Bulk: an optimized crystal structure of NaPrHgSe3 (PBE-GGA).

The value obtained for the total magnetic moment is 0.00 μB/f.u. The excess energy over the best structure of this formula in the dataset is 0.01 eV per formula unit. As for the space group: Cmcm (63). The mass density is 5.91 Mg/m³.

a b c (Å): 7.2560 7.2560 11.4014
angles (deg): 90.00 90.00 34.24
Element x y z (fractional)
Se (0.3561, 0.3561, 0.0609)
Se (0.9092, 0.9092, 0.7500)
Se (0.6439, 0.6439, 0.5609)
Hg (0.4655, 0.4655, 0.2500)
Pr (0.0000, 0.0000, 0.5000)
Na (0.7578, 0.7578, 0.2500)
Se (0.0908, 0.0908, 0.2500)
Na (0.2422, 0.2422, 0.7500)
Se (0.6439, 0.6439, 0.9391)
Pr (0.0000, 0.0000, 0.0000)
Se (0.3561, 0.3561, 0.4391)
Hg (0.5345, 0.5345, 0.7500)



Question: The lowest mass density belongs to which entry?
Answer: NbTeS



Question: Look up the mass density of the fifth one.
Answer: 9.70 Mg/m³



Question: mass density of number 4 (YErIr2)?
Answer: 12.40 Mg/m³